The following is a PBE calculation of a geometry-optimized Sc2ZnAu structure, from the Alexandria database.

ΔH_f (0 K) = -0.3507 eV per atom

The structure in POSCAR format:
```
Sc2ZnAu
1.0
-2.5306 -2.3852 -0.3873
3.6198 -3.3565 -2.9807
3.6837 -4.1485 1.4800
Sc Zn Au
2 1 1
Cartesian
0.5446 -2.8708 -1.6840
0.0000 0.0000 0.0000
2.3865 -4.9451 -0.9440
1.8419 -2.0743 0.7400
```

The following is a PBE calculation of a geometry-optimized BTeHRhAu structure, from the Alexandria database.

offset from the most stable computed form = 0.045 eV/atom

The structure in POSCAR format:
```
BTeHRhAu
1.0
-1.7490 -1.7066 1.9438
-1.2768 -3.9512 -2.0939
4.0326 -4.4593 2.2362
Te Au B H Rh
1 1 1 1 1
Cartesian
1.4403 -3.8584 1.0331
-1.4780 -3.8362 0.9291
2.3839 -7.7736 0.9640
0.0393 -0.4052 0.2787
0.3619 -7.7996 1.6308
```